TaB2Ir2 (PBE-GGA, relaxed); electronic total energy = -8.691 eV per atom; ΔE_f = -105 meV/atom; ρ = 16.55 g/cm3
1.0
6.549 0.000 0.000
0.000 6.549 0.000
0.000 0.000 2.747
Ta B Ir
2 4 4
Cartesian
3.275 3.275 0.000
0.000 0.000 0.000
1.012 2.263 0.000
5.538 4.287 0.000
2.263 5.538 0.000
4.287 1.012 0.000
0.966 4.241 1.373
4.241 5.583 1.373
2.308 0.966 1.373
5.583 2.308 1.373



Er2TmTh2 (PBE-GGA, relaxed); electronic total energy = -5.383 eV per atom; ΔE_f = 304 meV/atom; energy relative to the lowest polymorph listed for this composition = 276.4 meV/atom; ρ = 9.59 g/cm3
1.0
8.034 0.969 1.398
-2.358 6.219 0.109
-2.358 -2.081 5.861
Th Er Tm
4 4 2
Cartesian
-1.139 4.409 5.154
0.440 1.344 0.732
4.458 0.698 2.214
2.878 3.763 6.636
-1.179 -1.041 2.931
-2.358 2.069 2.985
1.659 2.553 3.684
2.838 3.594 0.753
3.668 0.511 5.617
-0.350 4.595 1.751



Sr8AgIr2 (PBE-GGA, relaxed); electronic total energy = -3.042 eV per atom; ΔE_f = 52 meV/atom; ρ = 3.94 g/cm3
1.0
6.228 0.000 0.000
-0.001 8.367 -4.831
0.001 -0.004 9.662
Sr Ag Ir
8 1 2
Cartesian
1.562 5.569 4.816
4.653 2.786 4.832
4.666 6.979 2.403
1.562 1.385 2.427
1.574 5.578 -0.001
1.562 1.407 7.249
4.666 6.957 -2.418
4.666 2.795 0.015
0.001 -0.004 9.662
4.717 5.578 -0.001
1.511 2.786 4.832



Ba2CdCu (PBE-GGA, relaxed); electronic total energy = -2.131 eV per atom; ΔE_f = 83 meV/atom; ρ = 6.09 g/cm3
1.0
-3.206 -0.180 4.563
-5.227 -1.924 -0.337
-1.317 -4.914 2.292
Ba Cu Cd
2 1 1
Cartesian
0.000 0.000 0.000
-2.437 -1.755 1.630
-7.312 -5.264 4.889
-4.875 -3.509 3.260



La3Pr4Y2 (PBE-GGA, relaxed); electronic total energy = -5.185 eV per atom; ΔE_f = 18 meV/atom; energy relative to the lowest polymorph listed for this composition = 2.7 meV/atom; ρ = 5.99 g/cm3
1.0
-1.816 3.292 -3.638
-7.718 -1.512 2.484
3.720 4.433 5.917
La Pr Y
3 4 2
Cartesian
-1.291 5.874 2.198
-4.523 0.339 2.564
0.000 0.000 0.000
-4.504 4.026 2.130
-2.655 4.388 5.297
-3.159 1.825 -0.534
-1.310 2.187 2.633
1.860 4.033 2.721
-7.674 2.180 2.041



Co8TcNi2 (PBE-GGA, relaxed); electronic total energy = -7.006 eV per atom; ΔE_f = 156 meV/atom; ρ = 9.09 g/cm3
1.0
-2.632 2.547 -1.734
3.174 -0.547 -5.623
-3.047 -4.695 2.464
Co Ni Tc
8 2 1
Cartesian
-1.965 -1.532 -4.004
1.996 -0.789 -4.191
-0.540 -1.163 -0.889
-1.807 -3.109 -1.824
-0.699 0.414 -3.068
-2.351 -2.210 0.322
-4.501 -1.905 -0.702
-0.154 -0.484 -5.215
0.192 -1.899 -3.082
-2.698 -0.796 -1.811
-1.316 1.274 -0.867



HfTaIn3 (PBE-GGA, relaxed); electronic total energy = -4.908 eV per atom; ΔE_f = 1097 meV/atom; energy relative to the lowest polymorph listed for this composition = 0.0 meV/atom; ρ = 7.97 g/cm3
1.0
5.273 0.000 0.000
0.000 5.273 0.000
0.000 0.000 5.273
In Hf Ta
3 1 1
Cartesian
0.000 0.000 2.636
2.636 0.000 0.000
0.000 2.636 0.000
2.636 2.636 2.636
0.000 0.000 0.000



KBC (PBE-GGA, relaxed); electronic total energy = -5.361 eV per atom; ΔE_f = 305 meV/atom; ρ = 2.30 g/cm3
1.0
6.625 0.000 0.000
0.000 2.911 0.000
0.000 0.000 9.258
C B K
4 4 4
Cartesian
5.530 0.728 0.308
2.218 0.728 4.321
4.407 2.183 4.936
1.095 2.183 8.950
0.592 0.728 9.171
2.721 2.183 4.542
3.904 0.728 4.715
6.034 2.183 0.086
6.557 0.728 6.289
3.381 2.183 1.660
3.244 0.728 7.597
0.068 2.183 2.969



YReNi2 (PBE-GGA, relaxed); electronic total energy = -7.462 eV per atom; ΔE_f = 157 meV/atom; energy relative to the lowest polymorph listed for this composition = 244.6 meV/atom; ρ = 10.62 g/cm3
1.0
4.570 0.000 0.000
0.000 4.570 0.000
0.000 0.000 2.938
Re Y Ni
1 1 2
Cartesian
2.285 0.000 1.469
0.000 2.285 1.469
2.285 2.285 0.000
0.000 0.000 0.000



Al5W (PBE-GGA, relaxed); electronic total energy = -5.313 eV per atom; ΔE_f = -35 meV/atom; ρ = 5.59 g/cm3
1.0
-2.483 -1.433 -4.551
0.037 -2.755 -4.620
-3.016 -5.819 1.321
Al W
5 1
Cartesian
-3.659 -6.702 -5.289
-1.815 -3.324 -2.627
-2.319 -4.149 -5.247
-4.169 -7.540 -7.848
-5.442 -9.971 -7.823
-3.536 -6.676 -1.261



Rb2BiIrCl6 (PBE-GGA, relaxed); electronic total energy = -3.568 eV per atom; ΔE_f (raw) = -0.9918 eV per atom; ρ = 4.46 g/cm3
1.0
7.437 0.000 0.000
0.000 7.437 0.000
3.719 3.719 5.279
Cl Bi Rb Ir
6 1 2 1
Cartesian
3.719 3.719 2.454
7.437 7.437 2.825
1.991 1.991 0.000
5.446 1.991 0.000
5.446 5.446 0.000
1.991 5.446 0.000
0.000 0.000 0.000
7.437 3.719 2.639
3.719 7.437 2.639
3.719 3.719 0.000



Na2BeSi2Pt5 (PBE-GGA, relaxed); electronic total energy = -5.346 eV per atom; ΔE_f (raw) = -0.6050 eV per atom; ρ = 11.66 g/cm3
1.0
-2.462 -1.306 -0.228
2.161 -2.328 -10.027
4.493 -9.005 3.059
Pt Na Si Be
10 4 4 2
Cartesian
1.946 -6.398 -1.529
2.538 -8.092 1.792
1.124 -4.486 -3.598
3.068 -8.153 -3.596
2.246 -6.241 -5.665
1.654 -4.547 -8.987
-0.565 -1.610 -1.830
-0.150 -1.817 -5.127
4.757 -11.029 -5.365
1.015 -5.155 1.416
1.843 -3.346 -0.737
2.233 -3.127 -6.220
4.812 -7.987 -6.230
4.421 -8.206 -0.747
1.403 -2.087 -3.205
5.251 -9.246 -3.762
3.488 -5.264 -7.534
3.166 -6.069 0.567
0.000 0.000 0.000
3.327 -5.666 -3.484